# 1
{
  "formula": "Na2GePbF8",
  "functional": "GGA-PBE",
  "state": "optimized geometry",
  "lattice_angstrom": [[4.981, 0.020, -0.003], [0.086, 5.215, -0.006], [0.004, 0.008, 7.215]],
  "species": ["Pb", "Na", "Na", "F", "F", "F", "F", "F", "F", "F", "F", "Ge"],
  "fractional_positions": [[0.000, 0.000, 0.500], [0.500, 0.500, 0.245], [0.500, 0.500, 0.755], [0.822, 0.181, 0.816], [0.337, 0.299, 0.500], [0.260, 0.241, 0.000], [0.178, 0.819, 0.184], [0.822, 0.181, 0.184], [0.178, 0.819, 0.816], [0.740, 0.759, 0.000], [0.663, 0.701, 0.500], [0.000, 0.000, 0.000]],
  "formation_energy_uncorrected_mev_per_atom": -2555,
  "spacegroup": "P2/m, No. 10",
  "magmom_total_mub_per_cell": 0.0,
  "density_g_cm3": 4.233
}

***

# 2
{
  "formula": "Ce3TcN6",
  "functional": "GGA-PBE",
  "state": "optimized geometry",
  "lattice_angstrom": [[5.595, 0.000, 0.000], [0.000, 7.487, -0.052], [0.000, -1.721, 7.287]],
  "species": ["N", "N", "N", "N", "N", "N", "N", "N", "N", "N", "N", "N", "Ce", "Ce", "Ce", "Ce", "Ce", "Ce", "Tc", "Tc"],
  "fractional_positions": [[0.140, 0.051, 0.949], [0.189, 0.790, 0.210], [0.209, 0.667, 0.650], [0.709, 0.650, 0.667], [0.674, 0.892, 0.414], [0.209, 0.350, 0.333], [0.674, 0.586, 0.108], [0.709, 0.333, 0.350], [0.174, 0.108, 0.586], [0.174, 0.414, 0.892], [0.640, 0.949, 0.051], [0.689, 0.210, 0.790], [0.441, 0.399, 0.601], [0.466, 0.303, 0.098], [0.966, 0.697, 0.902], [0.966, 0.098, 0.303], [0.466, 0.902, 0.697], [0.941, 0.601, 0.399], [0.019, 0.196, 0.804], [0.519, 0.804, 0.196]],
  "formation_energy_uncorrected_mev_per_atom": -1052,
  "spacegroup": "Cmc2_1, No. 36",
  "magmom_total_mub_per_cell": 2.4,
  "density_g_cm3": 6.565
}

***

# 3
{
  "formula": "Cd2SnRh4",
  "functional": "GGA-PBE",
  "state": "optimized geometry",
  "lattice_angstrom": [[-3.360, -1.616, -2.308], [-0.758, -2.942, 3.162], [-1.947, 6.443, 2.489]],
  "species": ["Cd", "Cd", "Rh", "Rh", "Rh", "Rh", "Sn"],
  "fractional_positions": [[0.743, 0.743, 0.487], [0.257, 0.257, 0.513], [0.614, 0.114, 0.227], [0.114, 0.614, 0.227], [0.886, 0.386, 0.773], [0.386, 0.886, 0.773], [0.000, 0.000, 0.000]],
  "spacegroup": "I4/mmm, No. 139",
  "magmom_total_mub_per_cell": 0.0,
  "e_form_mev_per_atom": -29,
  "density_g_cm3": 10.078
}

***

no.,raw total energy (eV/atom),D(E_F) (states/eV/cell)
1,-4.72,0.00
2,-8.86,16.54
3,-5.06,7.05